{"formula": "Hf2ZnCd", "functional": "PBE", "state": "relaxed", "cell": [[3.130, 0.000, 0.000], [0.000, 3.130, 0.000], [0.000, 0.000, 8.187]], "species": ["Hf", "Hf", "Zn", "Cd"], "frac_coords": [[0.000, 0.000, 0.000], [0.500, 0.500, 0.267], [0.500, 0.500, 0.764], [0.000, 0.000, 0.544]], "formation_energy_mev_per_atom": -101, "e_tot_ev_per_atom": -5.625, "mass_density_g_cm3": 11.1, "dos_ef_per_ev_atom": 0.72, "polymorph_energy_ev_per_atom": 0.000}

=====

{"formula": "Hf2ZnCd", "functional": "PBE", "state": "relaxed", "cell": [[4.342, 0.000, 0.000], [0.000, 4.342, 0.000], [0.000, 0.000, 4.180]], "species": ["Hf", "Hf", "Zn", "Cd"], "frac_coords": [[0.000, 0.500, 0.000], [0.500, 0.000, 0.000], [0.000, 0.000, 0.500], [0.500, 0.500, 0.500]], "formation_energy_mev_per_atom": -34, "e_tot_ev_per_atom": -5.558, "mass_density_g_cm3": 11.3, "dos_ef_per_ev_atom": 0.94, "polymorph_energy_ev_per_atom": 0.066}

=====

{"formula": "Hf4Zn5Cd", "functional": "PBE", "state": "relaxed", "cell": [[3.259, 0.000, 0.000], [0.000, 3.259, 0.000], [0.000, 0.000, 17.078]], "species": ["Hf", "Hf", "Hf", "Hf", "Zn", "Zn", "Zn", "Zn", "Zn", "Cd"], "frac_coords": [[0.000, 0.000, 0.099], [0.000, 0.000, 0.300], [0.000, 0.000, 0.700], [0.000, 0.000, 0.901], [0.500, 0.500, 0.000], [0.500, 0.500, 0.196], [0.500, 0.500, 0.397], [0.500, 0.500, 0.603], [0.500, 0.500, 0.804], [0.000, 0.000, 0.500]], "formation_energy_mev_per_atom": -114, "e_tot_ev_per_atom": -4.824, "mass_density_g_cm3": 10.6, "dos_ef_per_ev_atom": 0.52}

=====

{"formula": "HfZn2Cd2", "functional": "PBE", "state": "relaxed", "cell": [[8.015, 0.000, 0.000], [0.000, 8.015, 0.000], [0.000, 0.000, 2.966]], "species": ["Hf", "Hf", "Zn", "Zn", "Zn", "Zn", "Cd", "Cd", "Cd", "Cd"], "frac_coords": [[0.000, 0.000, 0.000], [0.500, 0.500, 0.000], [0.175, 0.325, 0.500], [0.325, 0.825, 0.500], [0.675, 0.175, 0.500], [0.825, 0.675, 0.500], [0.128, 0.628, 0.000], [0.372, 0.128, 0.000], [0.628, 0.872, 0.000], [0.872, 0.372, 0.000]], "formation_energy_mev_per_atom": 140, "e_tot_ev_per_atom": -2.727, "mass_density_g_cm3": 9.3, "dos_ef_per_ev_atom": 0.53, "polymorph_energy_ev_per_atom": 0.048}

=====

{"formula": "Hf2ZnCd2", "functional": "PBE", "state": "relaxed", "cell": [[7.204, 0.000, 0.000], [0.000, 7.204, 0.000], [0.000, 0.000, 4.330]], "species": ["Hf", "Hf", "Hf", "Hf", "Zn", "Zn", "Cd", "Cd", "Cd", "Cd"], "frac_coords": [[0.150, 0.350, 0.000], [0.350, 0.850, 0.000], [0.650, 0.150, 0.000], [0.850, 0.650, 0.000], [0.000, 0.000, 0.000], [0.500, 0.500, 0.000], [0.152, 0.652, 0.500], [0.348, 0.152, 0.500], [0.652, 0.848, 0.500], [0.848, 0.348, 0.500]], "formation_energy_mev_per_atom": 321, "e_tot_ev_per_atom": -4.281, "mass_density_g_cm3": 9.6, "dos_ef_per_ev_atom": 1.12, "polymorph_energy_ev_per_atom": 0.176}

=====

{"formula": "Hf2Zn3Cd", "functional": "PBE", "state": "relaxed", "cell": [[-1.597, 2.344, 7.574], [1.597, -2.344, 7.574], [1.597, 2.344, -7.574]], "species": ["Hf", "Hf", "Zn", "Zn", "Zn", "Cd"], "frac_coords": [[0.000, 0.000, 0.000], [0.819, 0.319, 0.500], [0.189, 0.689, 0.500], [0.345, 0.845, 0.500], [0.464, 0.464, 0.000], [0.630, 0.630, 0.000]], "formation_energy_mev_per_atom": -26, "e_tot_ev_per_atom": -4.133, "mass_density_g_cm3": 9.7, "dos_ef_per_ev_atom": 0.67}

=====

{"formula": "HfZn2Cd2", "functional": "PBE", "state": "relaxed", "cell": [[-1.971, 1.971, 6.333], [1.971, -1.971, 6.333], [1.971, 1.971, -6.333]], "species": ["Hf", "Zn", "Zn", "Cd", "Cd"], "frac_coords": [[0.000, 0.000, 0.000], [0.250, 0.750, 0.500], [0.750, 0.250, 0.500], [0.394, 0.394, 0.000], [0.606, 0.606, 0.000]], "formation_energy_mev_per_atom": 225, "e_tot_ev_per_atom": -2.641, "mass_density_g_cm3": 9.0, "dos_ef_per_ev_atom": 0.57, "polymorph_energy_ev_per_atom": 0.134}

=====

{"formula": "Hf2ZnCd", "functional": "PBE", "state": "relaxed", "cell": [[0.000, 3.400, 3.400], [3.400, 0.000, 3.400], [3.400, 3.400, 0.000]], "species": ["Hf", "Hf", "Zn", "Cd"], "frac_coords": [[0.250, 0.250, 0.250], [0.750, 0.750, 0.750], [0.000, 0.000, 0.000], [0.500, 0.500, 0.500]], "formation_energy_mev_per_atom": -21, "e_tot_ev_per_atom": -5.545, "mass_density_g_cm3": 11.3, "dos_ef_per_ev_atom": 0.21, "polymorph_energy_ev_per_atom": 0.080}